DFT (GGA-PBE) results for a geometry-optimized K2GeTe3 structure.

POSCAR file:
```
K2GeTe3
1.0
10.762 0.000 0.000
0.000 4.471 0.000
0.000 0.000 19.071
K Ge Te
8 4 12
Cartesian
0.734 1.118 4.035
2.564 1.118 17.765
2.817 3.353 8.229
4.647 3.353 13.570
6.115 1.118 5.501
7.945 1.118 10.842
8.198 3.353 1.306
10.028 3.353 15.037
1.808 1.118 11.777
3.573 3.353 2.242
7.189 1.118 16.829
8.954 3.353 7.294
0.414 3.353 10.859
1.252 3.353 1.054
1.960 1.118 14.353
3.421 3.353 4.817
4.128 1.118 10.590
4.967 1.118 1.323
5.795 3.353 17.748
6.633 3.353 8.481
7.341 1.118 14.254
8.802 3.353 4.718
9.509 1.118 18.017
10.348 1.118 8.213
```

Calculated values
Fermi-level density of states: 6.2 states/eV per cell
crystal system: orthorhombic
ΔE_f (raw): -598 meV per atom